[1]
Density functional theory data (PBE) for a geometry-optimized AcNdPN structure.

The space group is R-3m (No. 166, hexagonal axes) and the conventional cell measures 4.2332, 4.2332 and 41.3551 Å, with angles of 90.00, 90.00 and 120.00 degrees. The inequivalent atoms are Ac at (0.0000, 0.0000, 0.1185), Nd at (0.0000, 0.0000, 0.2951), P at (0.0000, 0.0000, 0.0000), P at (0.0000, 0.0000, 0.5000) and N at (0.0000, 0.0000, 0.2422).

As for the density of states at the Fermi level: 1.7 states/eV/f.u. The uncorrected formation energy comes out at -106.4 kJ per mole of atoms. The calculation puts the total moment at 0.0 μB/f.u.



[2]
Density functional theory data (PBE) for a geometry-optimized RbLiU2Te4 structure.

The space group is Cmcm (No. 63) and the conventional cell measures 4.523, 15.209 and 15.852 Å, with angles of 90.00, 90.00 and 90.00 degrees. The inequivalent atoms are Rb at (0.000, 0.111, 0.250), Li at (0.000, 0.165, 0.750), U at (0.000, 0.368, 0.060), Te at (0.000, 0.000, 0.000), Te at (0.000, 0.265, 0.608) and Te at (0.000, 0.429, 0.250).

As for the density of states at the Fermi level: 13.4 states/eV/f.u. The uncorrected formation energy comes out at -75.8 kJ per mole of atoms. The calculation puts the total moment at 6.0 μB/f.u.



[3]
Density functional theory data (PBE) for a geometry-optimized CsKInBrCl structure.

The space group is Amm2 (No. 38) and the conventional cell measures 4.165, 4.496 and 22.001 Å, with angles of 90.00, 90.00 and 90.00 degrees. The inequivalent atoms are Cs at (0.000, 0.000, 0.000), K at (0.000, 0.000, 0.683), In at (0.500, 0.000, 0.366), Br at (0.500, 0.000, 0.236) and Cl at (0.500, 0.000, 0.571).

As for the density of states at the Fermi level: 1.4 states/eV/f.u. The uncorrected formation energy comes out at -115.9 kJ per mole of atoms. The calculation puts the total moment at 0.0 μB/f.u.



[4]
Density functional theory data (PBE) for a geometry-optimized ZrNbMoPd structure.

The space group is F-43m (No. 216) and the conventional cell measures 6.572, 6.572 and 6.572 Å, with angles of 90.00, 90.00 and 90.00 degrees. The inequivalent atoms are Zr at (0.000, 0.000, 0.000), Nb at (0.000, 0.000, 0.500), Mo at (0.250, 0.250, 0.250) and Pd at (0.250, 0.250, 0.750).

The formation energy is -0.21 eV per atom. As for the density of states at the Fermi level: 4.1 states/eV/f.u. The calculation puts the total moment at 0.0 μB/f.u.



[5]
Density functional theory data (PBE) for a geometry-optimized Ac3TeO4 structure.

The space group is P4/mmm (No. 123) and the conventional cell measures 4.229, 4.229 and 10.373 Å, with angles of 90.00, 90.00 and 90.00 degrees. The inequivalent atoms are Ac at (0.000, 0.000, 0.000), Ac at (0.500, 0.500, 0.259), Te at (0.000, 0.000, 0.500) and O at (0.000, 0.500, 0.150).

As for the density of states at the Fermi level: 8.4 states/eV/f.u. The uncorrected formation energy comes out at -283.4 kJ per mole of atoms. The calculation puts the total moment at 0.0 μB/f.u.



[6]
Density functional theory data (PBE) for a geometry-optimized HoNpAu2 structure.

The space group is P4/mmm (No. 123) and the conventional cell measures 3.512, 3.512 and 7.519 Å, with angles of 90.00, 90.00 and 90.00 degrees. The inequivalent atoms are Ho at (0.000, 0.000, 0.000), Np at (0.000, 0.000, 0.500) and Au at (0.500, 0.500, 0.235).

The formation energy is -0.42 eV per atom. As for the density of states at the Fermi level: 11.2 states/eV/f.u. The calculation puts the total moment at 4.5 μB/f.u.